# 1
# Be2NiOs GGA-PBE optimized geometry
# magnetization = 0.00 μB/f.u.
# ρ = 10.685 g/cm³
# formation energy from the elements = -89 meV/atom
# E = -6.205 eV per atom
data_Be2NiOs
_chemical_formula_sum 'Be4 Ni2 Os2'
_cell_length_a 3.229
_cell_length_b 3.229
_cell_length_c 7.957
_cell_angle_alpha 90.00
_cell_angle_beta 90.00
_cell_angle_gamma 90.00
_space_group_name_H-M_alt 'I -4 m 2'
_space_group_IT_number 119
_space_group_name_Hall 'I -4 -2'
loop_
_atom_site_label
_atom_site_type_symbol
_atom_site_fract_x
_atom_site_fract_y
_atom_site_fract_z
_atom_site_occupancy
Be1 Be 0.000 0.000 0.000 1
Be2 Be 0.000 0.500 0.250 1
Ni1 Ni 0.000 0.500 0.750 1
Os1 Os 0.000 0.000 0.500 1


# 2
# BeSiNiOs2 GGA-PBE optimized geometry
# magnetization = 0.47 μB/f.u.
# ρ = 10.948 g/cm³
# ΔE_f (raw) = 1.219 eV per atom
# E = -6.259 eV per atom
data_BeSiNiOs2
_chemical_formula_sum 'Be1 Si1 Ni1 Os2'
_cell_length_a 4.498
_cell_length_b 4.498
_cell_length_c 3.571
_cell_angle_alpha 90.00
_cell_angle_beta 90.00
_cell_angle_gamma 90.00
_space_group_name_H-M_alt 'P 4/m m m'
_space_group_IT_number 123
_space_group_name_Hall '-P 4 2'
loop_
_atom_site_label
_atom_site_type_symbol
_atom_site_fract_x
_atom_site_fract_y
_atom_site_fract_z
_atom_site_occupancy
Be1 Be 0.000 0.000 0.000 1
Si1 Si 0.500 0.500 0.000 1
Ni1 Ni 0.000 0.000 0.500 1
Os1 Os 0.000 0.500 0.500 1